This record from Alexandria describes a geometry-optimized Mn3SbO6 structure. The functional is PBE with a Hubbard U. Values from VASP.

Values from the calculation:
crystal system	monoclinic
space-group type	P2_1/c (14)
uncorrected energy	-7.20	eV per atom

Geometry as Quantum ESPRESSO input:
```
&SYSTEM
  ibrav = 0, nat = 20, ntyp = 3
/
ATOMIC_SPECIES
Mn 54.94 Mn.upf
Sb 121.76 Sb.upf
O 16.00 O.upf
ATOMIC_POSITIONS crystal
Mn 0.5240 0.9468 0.7581
Mn 0.5000 0.5000 0.0000
Mn 0.4760 0.0532 0.2419
Mn 0.0240 0.5532 0.2581
Mn 0.0000 0.0000 0.5000
Mn 0.9760 0.4468 0.7419
Sb 0.5000 0.5000 0.5000
Sb 0.0000 0.0000 0.0000
O 0.6905 0.2031 0.9377
O 0.6994 0.2013 0.5829
O 0.6342 0.4323 0.2737
O 0.3658 0.5677 0.7263
O 0.3006 0.7987 0.4171
O 0.3095 0.7969 0.0623
O 0.1905 0.2969 0.4377
O 0.1994 0.2987 0.0829
O 0.1342 0.0677 0.7737
O 0.8658 0.9323 0.2263
O 0.8006 0.7013 0.9171
O 0.8095 0.7031 0.5623
CELL_PARAMETERS angstrom
5.2015 0.0000 0.0564
0.0000 5.3875 0.0000
0.1449 0.0000 8.1862
```